1.
Density functional theory data (PBEsol) for a geometry-optimized Zn2CrCu structure.

**ρ**: 8.3 g/cm3
**Energy**: -17.25 eV per cell

Unit cell a=2.5085 b=2.5085 c=7.7977 alpha=90.00 beta=90.00 gamma=90.12
Positions (direct):
Cr: 0.0000 0.0000 0.4929
Cu: 0.5000 0.5000 0.2534
Zn: 0.0000 0.0000 0.0111
Zn: 0.5000 0.5000 0.7426

2.
Density functional theory data (PBEsol) for a geometry-optimized CuPO4 structure.

**Formation energy (no corrections)**: -1.3139 eV/atom
**ρ**: 3.1 g/cm3

Unit cell a=8.8130 b=8.8130 c=8.8130 alpha=110.57 beta=110.57 gamma=110.57
Site moments in Bohr magnetons follow the coordinates.
Positions (direct):
Cu: 0.2163 0.1062 0.5024  0.79
Cu: 0.1062 0.5024 0.2163  0.79
Cu: 0.5024 0.2163 0.1062  0.79
Cu: 0.9267 0.5478 0.7195  0.06
Cu: 0.7195 0.9267 0.5478  0.06
Cu: 0.5478 0.7195 0.9267  0.06
P: 0.0861 0.9221 0.7428  -0.01
P: 0.4760 0.5893 0.1802  -0.01
P: 0.5893 0.1802 0.4760  -0.01
P: 0.1802 0.4760 0.5893  -0.01
P: 0.9221 0.7428 0.0861  -0.01
P: 0.7428 0.0861 0.9221  -0.01
O: 0.6018 0.2789 0.3628  0.15
O: 0.0230 0.4042 0.6340  0.11
O: 0.6340 0.0230 0.4042  0.11
O: 0.0754 0.4416 0.3897  0.18
O: 0.0139 0.7050 0.6374  0.07
O: 0.9553 0.2418 0.0155  0.22
O: 0.2789 0.3628 0.6018  0.15
O: 0.6938 0.7376 0.3445  0.07
O: 0.7050 0.6374 0.0139  0.07
O: 0.7376 0.3445 0.6938  0.07
O: 0.0052 0.6446 0.1693  0.16
O: 0.2418 0.0155 0.9553  0.22
O: 0.9517 0.7381 0.9218  0.07
O: 0.6446 0.1693 0.0052  0.16
O: 0.6374 0.0139 0.7050  0.07
O: 0.7381 0.9218 0.9517  0.07
O: 0.4416 0.3897 0.0754  0.18
O: 0.1693 0.0052 0.6446  0.16
O: 0.3628 0.6018 0.2789  0.15
O: 0.4042 0.6340 0.0230  0.11
O: 0.0155 0.9553 0.2418  0.22
O: 0.9218 0.9517 0.7381  0.07
O: 0.3897 0.0754 0.4416  0.18
O: 0.3445 0.6938 0.7376  0.07

3.
Density functional theory data (PBEsol) for a geometry-optimized CoSnF6 structure.

**Formation energy (no corrections)**: -2.1639 eV/atom
**ρ**: 4.6 g/cm3

Unit cell a=5.1645 b=5.1645 c=5.4820 alpha=61.90 beta=61.90 gamma=60.00
Site moments in Bohr magnetons follow the coordinates.
Positions (direct):
Co: 0.5000 0.5000 0.5000  2.68
Sn: 0.0000 0.0000 0.0000  0.02
F: 0.3801 0.7506 0.7510  0.04
F: 0.1182 0.3801 0.7510  0.04
F: 0.2494 0.8818 0.2490  0.04
F: 0.8818 0.6199 0.2490  0.04
F: 0.6199 0.2494 0.2490  0.04
F: 0.7506 0.1182 0.7510  0.04

4.
Density functional theory data (PBEsol) for a geometry-optimized Ca2ScMn structure.

**ρ**: 2.8 g/cm3
**Energy**: -18.30 eV per cell

Unit cell a=3.4269 b=3.4269 c=10.7467 alpha=80.83 beta=80.83 gamma=60.00
Site moments in Bohr magnetons follow the coordinates.
Positions (direct):
Sc: 0.0000 0.0000 0.0000  0.36
Ca: 0.2404 0.2404 0.2787  -0.06
Ca: 0.7596 0.7596 0.7213  -0.06
Mn: 0.5000 0.5000 0.5000  3.63

5.
Density functional theory data (PBEsol) for a geometry-optimized CaInP3 structure.

**ρ**: 3.1 g/cm3
**Energy**: -17.89 eV per cell

Unit cell a=5.0946 b=5.0946 c=5.0946 alpha=90.00 beta=90.00 gamma=90.00
Positions (direct):
P: 0.0000 0.5000 0.0000
P: 0.0000 0.0000 0.5000
P: 0.5000 0.0000 0.0000
Ca: 0.0000 0.0000 0.0000
In: 0.5000 0.5000 0.5000

6.
Density functional theory data (PBEsol) for a geometry-optimized Fe3AgCl structure.

**Formation energy (no corrections)**: 0.6590 eV/atom
**ρ**: 7.6 g/cm3

Unit cell a=4.0826 b=4.0826 c=4.0826 alpha=90.00 beta=90.00 gamma=90.00
Site moments in Bohr magnetons follow the coordinates.
Positions (direct):
Fe: 0.0000 0.5000 0.0000  2.04
Fe: 0.0000 0.0000 0.5000  2.04
Fe: 0.5000 0.0000 0.0000  2.04
Ag: 0.5000 0.5000 0.5000  -0.04
Cl: 0.0000 0.0000 0.0000  0.03

7.
Density functional theory data (PBEsol) for a geometry-optimized TlAsSe2F structure.

**Formation energy (no corrections)**: 0.0877 eV/atom
**ρ**: 7.1 g/cm3

Unit cell a=3.9974 b=5.1725 c=5.1725 alpha=90.00 beta=90.00 gamma=90.00
Positions (direct):
Tl: 0.5000 0.5000 0.5000
As: 0.5000 0.0000 0.0000
Se: 0.0000 0.0000 0.5000
Se: 0.0000 0.5000 0.0000
F: 0.0000 0.0000 0.0000

8.
Density functional theory data (PBEsol) for a geometry-optimized Li2TiFeO4 structure.

**Formation energy (no corrections)**: -2.1714 eV/atom
**ρ**: 4.5 g/cm3

Unit cell a=5.8095 b=5.7760 c=7.9234 alpha=90.00 beta=90.00 gamma=90.00
Site moments in Bohr magnetons follow the coordinates.
Positions (direct):
Li: 0.5000 0.0000 0.5000  0.00
Li: 0.0000 0.5000 0.0000  0.00
Li: 0.0000 0.0000 0.5000  0.00
Li: 0.5000 0.5000 0.0000  0.00
Li: 0.2500 0.7538 0.7565  0.00
Li: 0.7500 0.2462 0.2435  0.00
Li: 0.7500 0.7462 0.2565  0.00
Li: 0.2500 0.2538 0.7435  0.00
Ti: 0.7500 0.7814 0.7624  -0.02
Ti: 0.2500 0.2186 0.2376  -0.02
Ti: 0.2500 0.7186 0.2624  -0.02
Ti: 0.7500 0.2814 0.7376  -0.02
Fe: 0.0000 0.0000 0.0000  0.08
Fe: 0.0000 0.5000 0.5000  0.08
Fe: 0.5000 0.5000 0.5000  0.08
Fe: 0.5000 0.0000 0.0000  0.08
O: 0.2500 0.7307 0.5070  0.00
O: 0.7500 0.2319 0.9904  0.00
O: 0.7500 0.7693 0.0070  0.00
O: 0.2500 0.2681 0.4904  0.00
O: 0.7500 0.7319 0.5096  0.00
O: 0.2500 0.2307 0.9930  0.00
O: 0.2500 0.7681 0.0096  0.00
O: 0.7500 0.2693 0.4930  0.00
O: 0.4871 0.9846 0.2495  0.00
O: 0.9871 0.5154 0.7495  0.00
O: 0.0129 0.9846 0.2495  0.00
O: 0.5129 0.5154 0.7495  0.00
O: 0.4871 0.4846 0.2505  0.00
O: 0.9871 0.0154 0.7505  0.00
O: 0.0129 0.4846 0.2505  0.00
O: 0.5129 0.0154 0.7505  0.00

9.
Density functional theory data (PBEsol) for a geometry-optimized SrSbTe2N structure.

**Formation energy (no corrections)**: 1.4544 eV/atom
**ρ**: 3.5 g/cm3

Unit cell a=6.0495 b=6.0495 c=6.1491 alpha=90.00 beta=90.00 gamma=90.00
Site moments in Bohr magnetons follow the coordinates.
Positions (direct):
Sb: 0.0000 0.0000 0.5000  -0.32
N: 0.5000 0.5000 0.5000  1.89
Te: 0.0000 0.5000 0.0000  0.10
Te: 0.5000 0.0000 0.0000  0.10
Sr: 0.0000 0.0000 0.0000  0.00

10.
Density functional theory data (PBEsol) for a geometry-optimized KSe2Br2 structure.

**Formation energy (no corrections)**: -0.4205 eV/atom
**ρ**: 3.7 g/cm3

Unit cell a=4.3765 b=8.5233 c=8.5233 alpha=90.00 beta=90.00 gamma=90.00
Site moments in Bohr magnetons follow the coordinates.
Positions (direct):
K: 0.0000 0.0000 0.0000  0.01
K: 0.0000 0.5000 0.5000  0.01
Se: 0.0000 0.4101 0.9101  0.20
Se: 0.0000 0.9101 0.5899  0.20
Se: 0.0000 0.5899 0.0899  0.20
Se: 0.0000 0.0899 0.4101  0.20
Br: 0.5000 0.2399 0.7399  0.01
Br: 0.5000 0.7399 0.7601  0.01
Br: 0.5000 0.7601 0.2601  0.01
Br: 0.5000 0.2601 0.2399  0.01

11.
Density functional theory data (PBEsol) for a geometry-optimized Ba2CrSi structure.

**Formation energy (no corrections)**: 0.4253 eV/atom
**ρ**: 4.8 g/cm3

Unit cell a=4.4970 b=5.2187 c=5.2187 alpha=90.01 beta=90.00 gamma=90.00
Site moments in Bohr magnetons follow the coordinates.
Positions (direct):
Ba: 0.0000 0.5000 0.0000  0.01
Ba: 0.0000 0.0000 0.5000  0.01
Cr: 0.5000 0.0000 0.0000  3.97
Si: 0.5000 0.5000 0.5000  -0.09

12.
Density functional theory data (PBEsol) for a geometry-optimized Y3TcAg structure.

**ρ**: 5.3 g/cm3
**Energy**: -30.05 eV per cell

Unit cell a=5.2949 b=5.2949 c=5.2949 alpha=90.00 beta=90.00 gamma=90.00
Site moments in Bohr magnetons follow the coordinates.
Positions (direct):
Y: 0.0000 0.5000 0.0000  -0.16
Y: 0.0000 0.0000 0.5000  -0.16
Y: 0.5000 0.0000 0.0000  -0.16
Tc: 0.5000 0.5000 0.5000  2.13
Ag: 0.0000 0.0000 0.0000  -0.02

D(E_F) readings, ordered: 1.7, 16.8, 1.9, 5.5, 4.1, 2.0, 4.0, 12.1, 5.7, 4.6, 3.3, 7.0 states/eV per cell